Density functional theory data (GGA-PBE) for a geometry-optimized BeCr3Sn structure.

* excess energy over the best structure of this formula in the dataset: 0 meV/atom
* total magnetization: 7.52 μB per formula unit
* DFT total energy: -6.73 eV per atom
* ΔH_f (0 K): 0.59 eV per atom
* volume: 14.76 Å³/atom

a = 4.194 Å, b = 4.194 Å, c = 4.194 Å
α = 90.00°, β = 90.00°, γ = 90.00°
Space group Pm-3m (No. 221)
One atom of each set of equivalent atoms:
Be1 0.000 0.000 0.000 [1 per cell]
Cr1 0.000 0.000 0.500 [3 per cell]
Sn1 0.500 0.500 0.500 [1 per cell]